P) A plane-wave DFT calculation with PBE was carried out for crystalline Li2GeN2 at its relaxed geometry.

For the density of states at the Fermi level, the calculation gives 0.000 states/eV per atom. As for the size of the total moment: 0.00 μB/f.u.

The space group is P2_1/c (No. 14) and the conventional cell measures 5.5897, 6.6854 and 5.5531 Å, with angles of 90.00, 92.26 and 90.00 degrees. The distinct sites, in fractional coordinates, are Li at (0.0543, 0.1627, 0.2266), Li at (0.3172, 0.0975, 0.9066), Ge at (0.3496, 0.6377, 0.9256), N at (0.2293, 0.6486, 0.6037) and N at (0.3024, 0.1221, 0.5492).

Q) A plane-wave DFT calculation with PBE was carried out for crystalline Li2GeN2 at its relaxed geometry.

As for the size of the total moment: 0.00 μB/f.u.

The space group is C2/m (No. 12) and the conventional cell measures 11.6353, 3.7668 and 7.5563 Å, with angles of 90.00, 128.24 and 90.00 degrees. The distinct sites, in fractional coordinates, are Li at (0.0348, 0.0000, 0.2111), Li at (0.1480, 0.5000, 0.0173), Ge at (0.1402, 0.5000, 0.6413), N at (0.0115, 0.5000, 0.3290) and N at (0.1753, 0.0000, 0.1320).

Q: What are the energies relative to the best structure? A: P) 0; Q) 188, in meV per atom.

P) A plane-wave DFT calculation with PBE was carried out for crystalline LiGeS2N at its relaxed geometry.

For the density of states at the Fermi level, the calculation gives 0.521 states/eV per atom. As for the size of the total moment: 1.77 μB/f.u.

The space group is P4/mmm (No. 123) and the conventional cell measures 4.8747, 4.8747 and 3.7235 Å, with angles of 90.00, 90.00 and 90.00 degrees. The distinct sites, in fractional coordinates, are Li at (0.0000, 0.0000, 0.0000), Ge at (0.5000, 0.5000, 0.5000), S at (0.0000, 0.5000, 0.5000) and N at (0.5000, 0.5000, 0.0000).

Q) A plane-wave DFT calculation with PBE was carried out for crystalline LiGeS2N at its relaxed geometry.

For the density of states at the Fermi level, the calculation gives 0.377 states/eV per atom. As for the size of the total moment: 0.00 μB/f.u.

The space group is P4/mmm (No. 123) and the conventional cell measures 4.5375, 4.5375 and 3.9795 Å, with angles of 90.00, 90.00 and 90.00 degrees. The distinct sites, in fractional coordinates, are Li at (0.0000, 0.0000, 0.0000), Ge at (0.5000, 0.5000, 0.0000), S at (0.0000, 0.5000, 0.5000) and N at (0.5000, 0.5000, 0.5000).

R) A plane-wave DFT calculation with PBE was carried out for crystalline LiGeS2N at its relaxed geometry.

For the density of states at the Fermi level, the calculation gives 1.070 states/eV per atom. As for the size of the total moment: 0.00 μB/f.u.

The space group is P4/mmm (No. 123) and the conventional cell measures 4.6017, 4.6017 and 3.5993 Å, with angles of 90.00, 90.00 and 90.00 degrees. The distinct sites, in fractional coordinates, are Li at (0.0000, 0.0000, 0.0000), Ge at (0.5000, 0.5000, 0.5000), S at (0.0000, 0.5000, 0.0000) and N at (0.0000, 0.0000, 0.5000).

Q: What are the energies relative to the best structure? A: P) 0; Q) 164; R) 546, in meV per atom.

P) A plane-wave DFT calculation with PBE was carried out for crystalline LiGeSe2N at its relaxed geometry.

For the density of states at the Fermi level, the calculation gives 0.920 states/eV per atom. As for the size of the total moment: 0.00 μB/f.u.

The space group is P4/mmm (No. 123) and the conventional cell measures 5.4167, 5.4167 and 3.4445 Å, with angles of 90.00, 90.00 and 90.00 degrees. The distinct sites, in fractional coordinates, are Li at (0.0000, 0.0000, 0.0000), Ge at (0.5000, 0.5000, 0.5000), Se at (0.0000, 0.5000, 0.5000) and N at (0.5000, 0.5000, 0.0000).

Q) A plane-wave DFT calculation with PBE was carried out for crystalline LiGeSe2N at its relaxed geometry.

For the density of states at the Fermi level, the calculation gives 0.776 states/eV per atom. As for the size of the total moment: 0.97 μB/f.u.

The space group is P4/mmm (No. 123) and the conventional cell measures 4.8977, 4.8977 and 3.6427 Å, with angles of 90.00, 90.00 and 90.00 degrees. The distinct sites, in fractional coordinates, are Li at (0.0000, 0.0000, 0.0000), Ge at (0.5000, 0.5000, 0.5000), Se at (0.0000, 0.5000, 0.0000) and N at (0.0000, 0.0000, 0.5000).

Q: What are the energies relative to the best structure? A: P) 0; Q) 478, in meV per atom.

P) A plane-wave DFT calculation with PBE was carried out for crystalline LiGeSeN2 at its relaxed geometry.

For the density of states at the Fermi level, the calculation gives 0.839 states/eV per atom. As for the size of the total moment: 4.41 μB/f.u.

The space group is P4/mmm (No. 123) and the conventional cell measures 3.9945, 3.9945 and 4.9591 Å, with angles of 90.00, 90.00 and 90.00 degrees. The distinct sites, in fractional coordinates, are Li at (0.0000, 0.0000, 0.0000), Ge at (0.5000, 0.5000, 0.5000), Se at (0.0000, 0.0000, 0.5000) and N at (0.0000, 0.5000, 0.0000).

Q) A plane-wave DFT calculation with PBE was carried out for crystalline LiGeSeN2 at its relaxed geometry.

For the density of states at the Fermi level, the calculation gives 0.588 states/eV per atom. As for the size of the total moment: 2.31 μB/f.u.

The space group is P4/mmm (No. 123) and the conventional cell measures 3.7990, 3.7990 and 5.4017 Å, with angles of 90.00, 90.00 and 90.00 degrees. The distinct sites, in fractional coordinates, are Li at (0.0000, 0.0000, 0.0000), Ge at (0.5000, 0.5000, 0.5000), Se at (0.5000, 0.5000, 0.0000) and N at (0.0000, 0.5000, 0.5000).

Q: What are the energies relative to the best structure? A: P) 717; Q) 0, in meV per atom.

P) A plane-wave DFT calculation with PBE was carried out for crystalline NaLiGe3 at its relaxed geometry.

For the density of states at the Fermi level, the calculation gives 0.331 states/eV per atom. As for the size of the total moment: 0.00 μB/f.u.

The space group is Pnna (No. 52) and the conventional cell measures 11.9264, 5.8904 and 5.8907 Å, with angles of 90.00, 90.00 and 90.00 degrees. The distinct sites, in fractional coordinates, are Na at (0.2500, 0.0000, 0.0005), Li at (0.0001, 0.2500, 0.2500), Ge at (0.9999, 0.2500, 0.7500) and Ge at (0.1463, 0.0001, 0.5002).

Q) A plane-wave DFT calculation with PBE was carried out for crystalline NaLiGe3 at its relaxed geometry.

For the density of states at the Fermi level, the calculation gives 0.528 states/eV per atom. As for the size of the total moment: 0.00 μB/f.u.

The space group is Pm-3m (No. 221) and the conventional cell measures 4.7186, 4.7186 and 4.7186 Å, with angles of 90.00, 90.00 and 90.00 degrees. The distinct sites, in fractional coordinates, are Na at (0.0000, 0.0000, 0.0000), Li at (0.5000, 0.5000, 0.5000) and Ge at (0.0000, 0.5000, 0.5000).

Q: What are the energies relative to the best structure? A: P) 0; Q) 312, in meV per atom.

P) A plane-wave DFT calculation with PBE was carried out for crystalline NaLi2Ge2 at its relaxed geometry.

For the density of states at the Fermi level, the calculation gives 0.264 states/eV per atom. As for the size of the total moment: 0.00 μB/f.u.

The space group is C2/m (No. 12) and the conventional cell measures 10.8106, 3.9685 and 5.2106 Å, with angles of 90.00, 94.06 and 90.00 degrees. The distinct sites, in fractional coordinates, are Na at (0.0000, 0.0000, 0.0000), Li at (0.1637, 0.5000, 0.6092) and Ge at (0.2135, 0.5000, 0.1265).

Q) A plane-wave DFT calculation with PBE was carried out for crystalline NaLi2Ge2 at its relaxed geometry.

For the density of states at the Fermi level, the calculation gives 0.416 states/eV per atom. As for the size of the total moment: 0.00 μB/f.u.

The space group is I4/mmm (No. 139) and the conventional cell measures 4.4893, 4.4893 and 10.5479 Å, with angles of 90.00, 90.00 and 90.00 degrees. The distinct sites, in fractional coordinates, are Na at (0.0000, 0.0000, 0.0000), Li at (0.0000, 0.5000, 0.2500) and Ge at (0.0000, 0.0000, 0.3903).

R) A plane-wave DFT calculation with PBE was carried out for crystalline NaLi2Ge2 at its relaxed geometry.

For the density of states at the Fermi level, the calculation gives 0.246 states/eV per atom. As for the size of the total moment: 0.00 μB/f.u.

The space group is P4/mbm (No. 127) and the conventional cell measures 7.7318, 7.7318 and 3.1368 Å, with angles of 90.00, 90.00 and 90.00 degrees. The distinct sites, in fractional coordinates, are Na at (0.0000, 0.0000, 0.0000), Li at (0.1806, 0.3194, 0.5000) and Ge at (0.1148, 0.6148, 0.0000).

Q: What are the energies relative to the best structure? A: P) 19; Q) 102; R) 0, in meV per atom.

P) A plane-wave DFT calculation with PBE was carried out for crystalline NaLi3Ge at its relaxed geometry.

For the density of states at the Fermi level, the calculation gives 0.111 states/eV per atom. As for the size of the total moment: 0.00 μB/f.u.

The space group is Pm-3m (No. 221) and the conventional cell measures 4.9344, 4.9344 and 4.9344 Å, with angles of 90.00, 90.00 and 90.00 degrees. The distinct sites, in fractional coordinates, are Na at (0.0000, 0.0000, 0.0000), Li at (0.0000, 0.5000, 0.5000) and Ge at (0.5000, 0.5000, 0.5000).

Q) A plane-wave DFT calculation with PBE was carried out for crystalline NaLi3Ge at its relaxed geometry.

For the density of states at the Fermi level, the calculation gives 0.412 states/eV per atom. As for the size of the total moment: 0.00 μB/f.u.

The space group is C2/c (No. 15) and the conventional cell measures 11.1659, 10.2393 and 7.6374 Å, with angles of 90.00, 99.37 and 90.00 degrees. The distinct sites, in fractional coordinates, are Na at (0.0000, 0.0034, 0.2500), Na at (0.0000, 0.3267, 0.2500), Li at (0.1390, 0.4675, 0.6066), Li at (0.1560, 0.1936, 0.6244), Li at (0.1959, 0.1392, 0.0620) and Ge at (0.0730, 0.3264, 0.8890).

R) A plane-wave DFT calculation with PBE was carried out for crystalline NaLi3Ge at its relaxed geometry.

For the density of states at the Fermi level, the calculation gives 0.469 states/eV per atom. As for the size of the total moment: 0.00 μB/f.u.

The space group is Pm-3m (No. 221) and the conventional cell measures 4.7584, 4.7584 and 4.7584 Å, with angles of 90.00, 90.00 and 90.00 degrees. The distinct sites, in fractional coordinates, are Na at (0.0000, 0.0000, 0.0000), Li at (0.0000, 0.0000, 0.5000) and Ge at (0.5000, 0.5000, 0.5000).

Q: What are the energies relative to the best structure? A: P) 28; Q) 0; R) 619, in meV per atom.

P) A plane-wave DFT calculation with PBE was carried out for crystalline NaLiGePt at its relaxed geometry.

For the density of states at the Fermi level, the calculation gives 0.443 states/eV per atom. As for the size of the total moment: 0.00 μB/f.u.

The space group is Cm (No. 8) and the conventional cell measures 7.4671, 4.3120 and 5.6376 Å, with angles of 90.00, 116.47 and 90.00 degrees. The distinct sites, in fractional coordinates, are Na at (0.0000, 0.0000, 0.0000), Li at (0.3038, 0.5000, 0.4134), Ge at (0.0301, 0.5000, 0.5912) and Pt at (0.1985, 0.0000, 0.5965).

Q) A plane-wave DFT calculation with PBE was carried out for crystalline NaLiGePt at its relaxed geometry.

For the density of states at the Fermi level, the calculation gives 0.214 states/eV per atom. As for the size of the total moment: 0.00 μB/f.u.

The space group is F-43m (No. 216) and the conventional cell measures 6.3255, 6.3255 and 6.3255 Å, with angles of 90.00, 90.00 and 90.00 degrees. The distinct sites, in fractional coordinates, are Na at (0.0000, 0.0000, 0.0000), Li at (0.2500, 0.2500, 0.7500), Ge at (0.2500, 0.2500, 0.2500) and Pt at (0.0000, 0.0000, 0.5000).

Q: What are the energies relative to the best structure? A: P) 0; Q) 99, in meV per atom.